Density functional theory data (PBE) for crystalline SrCr2Ag2 at its relaxed geometry.

Output
Space group: No. 139
Energy above the most stable polymorph in this dataset (meV per atom): 108.9

Lattice parameters (Å, degrees): 3.2841 3.2841 18.4743 90.00 90.00 90.00
With the nearest neighbours (Å) after each atom.
Fractional positions:
Sr: 0.0000 0.0000 0.0000  4 Sr 3.28, 8 Ag 3.30
Sr: 0.5000 0.5000 0.5000  4 Sr 3.28, 8 Ag 3.30
Cr: 0.0000 0.5000 0.2500  4 Cr 2.32
Cr: 0.0000 0.5000 0.7500  4 Cr 2.32
Cr: 0.5000 0.0000 0.2500  4 Cr 2.32
Cr: 0.5000 0.0000 0.7500  4 Cr 2.32
Ag: 0.0000 0.0000 0.3728  4 Cr 2.80
Ag: 0.0000 0.0000 0.6272  4 Cr 2.80
Ag: 0.5000 0.5000 0.1272  4 Cr 2.80
Ag: 0.5000 0.5000 0.8728  4 Cr 2.80


Density functional theory data (PBE) for crystalline Sr3CrAg at its relaxed geometry.

Output
Space group: No. 221
Energy above the most stable polymorph in this dataset (meV per atom): 0.0

Lattice parameters (Å, degrees): 6.0570 6.0570 6.0570 90.00 90.00 90.00
With the nearest neighbours (Å) after each atom.
Fractional positions:
Sr: 0.0000 0.0000 0.5000  2 Ag 3.03
Sr: 0.0000 0.5000 0.0000  2 Ag 3.03
Sr: 0.5000 0.0000 0.0000  2 Ag 3.03
Cr: 0.5000 0.5000 0.5000  12 Sr 4.28
Ag: 0.0000 0.0000 0.0000  6 Sr 3.03


Density functional theory data (PBE) for crystalline Sr2CrAg2 at its relaxed geometry.

Output
Space group: No. 127
Energy above the most stable polymorph in this dataset (meV per atom): 0.0

Lattice parameters (Å, degrees): 7.9504 7.9504 4.5768 90.00 90.00 90.00
With the nearest neighbours (Å) after each atom.
Fractional positions:
Sr: 0.1753 0.3247 0.0000  6 Ag 3.18-3.35
Sr: 0.3247 0.8247 0.0000  6 Ag 3.18-3.35
Sr: 0.6753 0.1753 0.0000  6 Ag 3.18-3.35
Sr: 0.8247 0.6753 0.0000  6 Ag 3.18-3.35
Cr: 0.0000 0.0000 0.5000  4 Ag 3.12
Cr: 0.5000 0.5000 0.5000  4 Ag 3.12
Ag: 0.1289 0.6289 0.5000  1 Ag 2.90, 2 Cr 3.12, 2 Sr 3.18
Ag: 0.3711 0.1289 0.5000  1 Ag 2.90, 2 Cr 3.12, 2 Sr 3.18
Ag: 0.6289 0.8711 0.5000  1 Ag 2.90, 2 Cr 3.12, 2 Sr 3.18
Ag: 0.8711 0.3711 0.5000  1 Ag 2.90, 2 Cr 3.12, 2 Sr 3.18


Density functional theory data (PBE) for crystalline SrCrAg4 at its relaxed geometry.

Output
Space group: No. 216

Lattice parameters (Å, degrees): 5.6916 5.6916 5.6916 60.00 60.00 60.00
With the nearest neighbours (Å) after each atom.
Fractional positions:
Sr: 0.0000 0.0000 0.0000  12 Ag 3.34, 4 Cr 3.49
Cr: 0.2500 0.2500 0.2500  12 Ag 3.34, 4 Sr 3.49
Ag: 0.1272 0.6243 0.6243  6 Ag 2.83-2.86
Ag: 0.6243 0.1272 0.6243  6 Ag 2.83-2.86
Ag: 0.6243 0.6243 0.1272  6 Ag 2.83-2.86
Ag: 0.6243 0.6243 0.6243  6 Ag 2.83-2.86


Density functional theory data (PBE) for crystalline SrCr2Ag2 at its relaxed geometry.

Output
Space group: No. 127
Energy above the most stable polymorph in this dataset (meV per atom): 0.0

Lattice parameters (Å, degrees): 8.1496 8.1496 3.3040 90.00 90.00 90.00
With the nearest neighbours (Å) after each atom.
Fractional positions:
Sr: 0.0000 0.0000 0.0000  4 Ag 3.14, 2 Sr 3.30
Sr: 0.5000 0.5000 0.0000  4 Ag 3.14, 2 Sr 3.30
Cr: 0.1452 0.3548 0.5000  6 Ag 2.87-2.95
Cr: 0.3548 0.8548 0.5000  6 Ag 2.87-2.95
Cr: 0.6452 0.1452 0.5000  6 Ag 2.87-2.95
Cr: 0.8548 0.6452 0.5000  6 Ag 2.87-2.95
Ag: 0.1425 0.6425 0.0000  6 Cr 2.87-2.95, 2 Sr 3.14
Ag: 0.3575 0.1425 0.0000  6 Cr 2.87-2.95, 2 Sr 3.14
Ag: 0.6425 0.8575 0.0000  6 Cr 2.87-2.95, 2 Sr 3.14
Ag: 0.8575 0.3575 0.0000  6 Cr 2.87-2.95, 2 Sr 3.14


Density functional theory data (PBE) for crystalline SrTi2CrAg at its relaxed geometry.

Output
Space group: No. 123

Lattice parameters (Å, degrees): 4.4849 4.4849 5.4813 90.00 90.00 90.00
With the nearest neighbours (Å) after each atom.
Fractional positions:
Sr: 0.0000 0.0000 0.0000  4 Ag 3.17, 8 Ti 3.54
Ti: 0.0000 0.5000 0.5000  2 Cr 2.24
Ti: 0.5000 0.0000 0.5000  2 Cr 2.24
Cr: 0.5000 0.5000 0.5000  4 Ti 2.24
Ag: 0.5000 0.5000 0.0000  2 Cr 2.74


no.,total magnetic moment (μB per cell),VASP energy (eV for the cell shown),formation enthalpy at 0 K (eV per atom)
1,0.0,-47.18,0.6080
2,4.9,-15.43,0.4173
3,9.6,-36.46,0.0921
4,5.2,-22.07,0.1064
5,17.8,-48.27,0.4991
6,0.0,-27.85,0.4187